1.
Here is a relaxed structure of DyCd2Cu from the Alexandria database. Energies are from PBE-GGA.

Results
symmetry = P4/mmm
energy of formation = -40 kJ/mol of formula units

```
DyCd2Cu
1.0
4.254 0.000 0.000
0.000 4.254 0.000
0.000 0.000 4.847
Dy Cd Cu
1 2 1
Cartesian
0.000 0.000 0.000
0.000 2.127 2.424
2.127 0.000 2.424
2.127 2.127 0.000
```


2.
Here is a relaxed structure of MgGe3H from the Alexandria database. Energies are from PBE-GGA.

Results
symmetry = Pm-3m
energy = -3.47 eV/atom

```
MgGe3H
1.0
4.331 0.000 0.000
0.000 4.331 0.000
0.000 0.000 4.331
Mg Ge H
1 3 1
Cartesian
0.000 0.000 0.000
0.000 2.166 2.166
2.166 0.000 2.166
2.166 2.166 0.000
2.166 2.166 2.166
```


3.
Here is a relaxed structure of Pr4Rh2I5 from the Alexandria database. Energies are from PBE-GGA.

Results
formation energy (no corrections) = -0.51 eV/atom
symmetry = Immm

```
Pr4Rh2I5
1.0
-2.013 4.960 9.824
2.013 -4.960 9.824
2.013 4.960 -9.824
Pr Rh I
4 2 5
Cartesian
0.000 0.000 3.329
2.013 2.029 0.000
0.000 2.931 9.824
0.000 0.000 16.318
0.000 0.000 5.774
0.000 0.000 13.874
2.013 2.543 -3.116
2.013 2.543 3.116
0.000 4.960 0.000
0.000 2.417 6.708
0.000 2.417 12.939
```